Record 1
The following is a SCAN calculation of a crystal of CuNF2 relaxed with PBEsol, from the Alexandria database.

Total moment ... 0.5000 μB/atom
Space-group type ... Fm-3m
Uncorrected formation energy ... 0.4644 eV per atom

a = 3.7612 Å, b = 3.7612 Å, c = 3.7612 Å
α = 60.00°, β = 60.00°, γ = 60.00°
With the nearest neighbours (Å) after each atom.
Atoms (fractional coordinates):
N1 0.0000 0.0000 0.0000  8 F 2.30
Cu1 0.5000 0.5000 0.5000  8 F 2.30
F1 0.2500 0.2500 0.2500  4 Cu 2.30, 4 N 2.30
F2 0.7500 0.7500 0.7500  4 N 2.30, 4 Cu 2.30

=====

Record 2
The following is a SCAN calculation of a crystal of NaCuN2F relaxed with PBEsol, from the Alexandria database.

Total moment ... 0.6656 μB/atom
Space-group type ... P4/mmm
Uncorrected formation energy ... 0.2101 eV per atom

a = 3.5715 Å, b = 3.5715 Å, c = 4.8331 Å
α = 90.00°, β = 90.00°, γ = 90.00°
With the nearest neighbours (Å) after each atom.
Atoms (fractional coordinates):
Na1 0.5000 0.5000 0.5000  4 F 2.53
N1 0.0000 0.5000 0.0000  2 Cu 1.79
N2 0.5000 0.0000 0.0000  2 Cu 1.79
Cu1 0.0000 0.0000 0.0000  4 N 1.79
F1 0.0000 0.0000 0.5000  2 Cu 2.42, 4 Na 2.53

=====

Record 3
The following is a SCAN calculation of a crystal of CuPNF2 relaxed with PBEsol, from the Alexandria database.

Total moment ... 0.0876 μB/atom
Space-group type ... P4/mmm
Uncorrected formation energy ... 0.2000 eV per atom

a = 3.6994 Å, b = 3.6994 Å, c = 4.0471 Å
α = 90.00°, β = 90.00°, γ = 90.00°
With the nearest neighbours (Å) after each atom.
Atoms (fractional coordinates):
P1 0.5000 0.5000 0.5000  4 N 2.62, 8 F 2.74
N1 0.0000 0.0000 0.5000  2 Cu 2.02
Cu1 0.0000 0.0000 0.0000  4 F 1.85, 2 N 2.02
F1 0.0000 0.5000 0.0000  2 Cu 1.85
F2 0.5000 0.0000 0.0000  2 Cu 1.85

=====

Record 4
The following is a SCAN calculation of a crystal of CuS2NF relaxed with PBEsol, from the Alexandria database.

Total moment ... 0.0000 μB/atom
Space-group type ... P4/mmm
Uncorrected formation energy ... 0.7720 eV per atom

a = 3.9051 Å, b = 4.0004 Å, c = 4.0004 Å
α = 90.00°, β = 90.00°, γ = 90.00°
With the nearest neighbours (Å) after each atom.
Atoms (fractional coordinates):
S1 0.0000 0.0000 0.5000  2 N 2.00
S2 0.0000 0.5000 0.0000  2 N 2.00
N1 0.0000 0.0000 0.0000  2 Cu 1.95, 4 S 2.00
Cu1 0.5000 0.0000 0.0000  2 N 1.95
F1 0.5000 0.5000 0.5000  8 S 2.80, 4 Cu 2.83

=====

Record 5
The following is a SCAN calculation of a crystal of CuS2NF relaxed with PBEsol, from the Alexandria database.

Total moment ... 0.9875 μB/atom
Space-group type ... P4/mmm
Uncorrected formation energy ... 1.0679 eV per atom

a = 3.5047 Å, b = 4.5683 Å, c = 4.5683 Å
α = 90.00°, β = 90.00°, γ = 90.00°
With the nearest neighbours (Å) after each atom.
Atoms (fractional coordinates):
S1 0.0000 0.0000 0.5000  2 Cu 2.28
S2 0.0000 0.5000 0.0000  2 Cu 2.28
N1 0.5000 0.0000 0.0000  2 Cu 1.75
Cu1 0.0000 0.0000 0.0000  2 N 1.75
F1 0.5000 0.5000 0.5000  8 S 2.88

=====

Record 6
The following is a SCAN calculation of a crystal of CuSeN2F relaxed with PBEsol, from the Alexandria database.

Total moment ... 0.7362 μB/atom
Space-group type ... P4/mmm
Uncorrected formation energy ... 2.0518 eV per atom

a = 3.5836 Å, b = 3.5836 Å, c = 5.9670 Å
α = 90.00°, β = 90.00°, γ = 90.00°
With the nearest neighbours (Å) after each atom.
Atoms (fractional coordinates):
N1 0.0000 0.5000 0.0000  2 F 1.79
N2 0.5000 0.0000 0.0000  2 F 1.79
Cu1 0.5000 0.5000 0.5000  4 Se 2.53
Se1 0.0000 0.0000 0.5000  4 Cu 2.53
F1 0.0000 0.0000 0.0000  4 N 1.79